# 1
{"formula": "NaSc5Hg6", "functional": "PBE", "state": "optimized geometry", "lattice": [[4.8012, 0.0203, -1.4011], [-0.9654, 6.1806, -3.2184], [-0.0860, 0.4815, 8.6389]], "species": ["Hg", "Hg", "Hg", "Hg", "Hg", "Hg", "Sc", "Sc", "Sc", "Sc", "Sc", "Na"], "fractional_positions": [[0.5000, 0.2606, 0.0000], [0.8306, 0.5754, 0.6611], [0.8306, 0.0857, 0.6611], [0.1694, 0.9143, 0.3389], [0.5000, 0.7394, 0.0000], [0.1694, 0.4246, 0.3389], [0.0000, 0.5000, 0.0000], [0.6684, 0.6684, 0.3369], [0.6606, 0.1606, 0.3212], [0.3316, 0.3316, 0.6631], [0.3394, 0.8394, 0.6788], [0.0000, 0.0000, 0.0000]], "total_energy_ev_per_atom": -3.275, "volume_a3_per_fu": 263.9, "formation_energy_ev_per_atom": -0.377, "space_group": "Immm"}


# 2
{"formula": "NaScHg6", "functional": "PBE", "state": "optimized geometry", "lattice": [[-4.1323, 0.9059, 1.5108], [0.4065, -3.2583, 3.0655], [3.5513, 6.1259, 6.0402]], "species": ["Hg", "Hg", "Hg", "Hg", "Hg", "Hg", "Na", "Sc"], "fractional_positions": [[0.5000, 0.0000, 0.2570], [0.0000, 0.5000, 0.7430], [0.0000, 0.5000, 0.2570], [0.5000, 0.5000, 0.5000], [0.5000, 0.5000, 0.0000], [0.5000, 0.0000, 0.7430], [0.0000, 0.0000, 0.0000], [0.0000, 0.0000, 0.5000]], "total_energy_ev_per_atom": -1.358, "volume_a3_per_fu": 187.8, "formation_energy_ev_per_atom": -0.175, "space_group": "P4/mmm"}


# 3
{"formula": "NaScHg4", "functional": "PBE", "state": "optimized geometry", "lattice": [[3.5454, 0.0000, 1.0255], [1.9344, 5.1631, -0.0461], [-0.2905, -1.3829, 7.6463]], "species": ["Sc", "Hg", "Hg", "Hg", "Hg", "Na"], "fractional_positions": [[0.5000, 0.5000, 0.5000], [0.1555, 0.5133, 0.1757], [0.3205, 0.0179, 0.3412], [0.8445, 0.4867, 0.8243], [0.6795, 0.9821, 0.6588], [0.0000, 0.0000, 0.0000]], "total_energy_ev_per_atom": -1.703, "volume_a3_per_fu": 138.5, "formation_energy_ev_per_atom": -0.227, "space_group": "C2/m"}